#A
VASP calculation (PBE) on crystalline PrDyYTl at its relaxed geometry.

a = 7.850 Å, b = 7.850 Å, c = 7.850 Å
α = 90.00°, β = 90.00°, γ = 90.00°
Space group F-43m (No. 216)
Unique sites:
Pr  0.000  0.000  0.000 [4 per cell]
Dy  0.250  0.250  0.750 [4 per cell]
Y  0.000  0.000  0.500 [4 per cell]
Tl  0.250  0.250  0.250 [4 per cell]

Total magnetization = 1.328 μB/f.u.
Fermi-level density of states = 19.600 states/eV/cell

#B
VASP calculation (PBE) on crystalline PrDyYTl at its relaxed geometry.

a = 4.855 Å, b = 4.906 Å, c = 5.001 Å
α = 90.00°, β = 90.00°, γ = 90.00°
Space group Pmmm (No. 47)
Unique sites:
Pr  0.000  0.000  0.000 [1 per cell]
Dy  0.500  0.500  0.000 [1 per cell]
Y  0.500  0.000  0.500 [1 per cell]
Tl  0.000  0.500  0.500 [1 per cell]

Total magnetization = 0.261 μB/f.u.
Fermi-level density of states = 6.069 states/eV/cell

Which of them is the most stable, and which is the least stable? #B and #A, in that order.